! AcCeCr2O8, optimized geometry, DFT PBE+U; values from VASP
&SYSTEM
  ibrav = 0, nat = 12, ntyp = 4
/
ATOMIC_SPECIES
Ac 227.00 Ac.upf
Ce 140.12 Ce.upf
Cr 52.00 Cr.upf
O 16.00 O.upf
ATOMIC_POSITIONS angstrom
Ac 0.000 0.000 0.000
Ce 3.764 0.000 1.637
Cr 0.000 0.000 3.274
Cr 0.000 3.764 1.637
O 2.415 3.764 -1.072
O 1.349 0.000 2.202
O 0.000 2.494 0.365
O 3.764 2.415 1.072
O 0.000 5.033 0.365
O 0.000 1.349 4.345
O -1.269 3.764 2.908
O 1.269 3.764 2.908
CELL_PARAMETERS angstrom
-3.764 3.764 3.274
3.764 -3.764 3.274
3.764 3.764 -3.274
! space-group type	I-4m2
! total DFT energy (no corrections)	-92.90	eV for the cell shown
! total moment	3.04	μB/cell